(1)
{"formula": "Mn2TlCuS4", "functional": "GGA-PBE", "state": "optimized geometry", "lattice_angstrom": [[1.8231, -6.3672, 0.0000], [1.8231, 6.3672, 0.0000], [0.0000, 0.0000, 13.2371]], "species": ["Mn", "Mn", "Mn", "Mn", "Tl", "Tl", "Cu", "Cu", "S", "S", "S", "S", "S", "S", "S", "S"], "frac_coords": [[0.1257, 0.8743, 0.5624], [0.1257, 0.8743, 0.9376], [0.8743, 0.1257, 0.0624], [0.8743, 0.1257, 0.4376], [0.3799, 0.6201, 0.7500], [0.6201, 0.3799, 0.2500], [0.3315, 0.6685, 0.2500], [0.6685, 0.3315, 0.7500], [0.0642, 0.9358, 0.7500], [0.2523, 0.7477, 0.0967], [0.2523, 0.7477, 0.4033], [0.5000, 0.5000, 0.0000], [0.5000, 0.5000, 0.5000], [0.7477, 0.2523, 0.5967], [0.7477, 0.2523, 0.9033], [0.9358, 0.0642, 0.2500]], "space_group": "No. 63", "formation_energy_uncorrected_ev_per_fu": -2.97}


(2)
{"formula": "Mn2Tl3CuS6", "functional": "GGA-PBE", "state": "optimized geometry", "lattice_angstrom": [[3.0941, -5.4091, 0.0000], [3.0941, 5.4091, 0.0000], [-2.0442, 0.0000, 7.3594]], "species": ["Mn", "Mn", "Tl", "Tl", "Tl", "Cu", "S", "S", "S", "S", "S", "S"], "frac_coords": [[0.1673, 0.8327, 0.0000], [0.8327, 0.1673, 0.0000], [0.0000, 0.0000, 0.5000], [0.3385, 0.6615, 0.5000], [0.6615, 0.3385, 0.5000], [0.5000, 0.5000, 0.0000], [0.0937, 0.4433, 0.8249], [0.2135, 0.2135, 0.1618], [0.4433, 0.0937, 0.8249], [0.5567, 0.9063, 0.1751], [0.7865, 0.7865, 0.8382], [0.9063, 0.5567, 0.1751]], "space_group": "No. 12", "formation_energy_uncorrected_ev_per_fu": -4.38}


(3)
{"formula": "UMn2CuS6", "functional": "GGA-PBE", "state": "optimized geometry", "lattice_angstrom": [[3.1108, 1.7960, 5.7856], [-3.1108, 1.7960, 5.7856], [0.0000, -3.5920, 5.7856]], "species": ["U", "Mn", "Mn", "Cu", "S", "S", "S", "S", "S", "S"], "frac_coords": [[0.0000, 0.0000, 0.0000], [0.3168, 0.3168, 0.3168], [0.8118, 0.8118, 0.8118], [0.5109, 0.5109, 0.5109], [0.0963, 0.7092, 0.4230], [0.2197, 0.5779, 0.9167], [0.4230, 0.0963, 0.7092], [0.5779, 0.9167, 0.2197], [0.7092, 0.4230, 0.0963], [0.9167, 0.2197, 0.5779]], "space_group": "No. 146", "formation_energy_uncorrected_ev_per_fu": -6.83}


(4)
{"formula": "MnVCuS4", "functional": "GGA-PBE", "state": "optimized geometry", "lattice_angstrom": [[-3.4079, 3.5318, 4.9737], [3.4079, -3.5318, 4.9737], [3.4079, 3.5318, -4.9737]], "species": ["Mn", "Mn", "V", "V", "Cu", "Cu", "S", "S", "S", "S", "S", "S", "S", "S"], "frac_coords": [[0.0000, 0.0000, 0.0000], [0.5000, 0.0000, 0.5000], [0.5000, 0.0000, 0.0000], [0.5000, 0.5000, 0.5000], [0.1203, 0.3703, 0.7500], [0.8797, 0.6297, 0.2500], [0.2517, 0.2399, 0.0118], [0.2580, 0.2437, 0.4858], [0.2580, 0.7722, 0.0142], [0.2719, 0.7601, 0.5118], [0.7281, 0.2399, 0.4882], [0.7420, 0.2278, 0.9858], [0.7420, 0.7563, 0.5142], [0.7483, 0.7601, 0.9882]], "space_group": "No. 74", "formation_energy_uncorrected_ev_per_fu": -4.65}